Run A
Compound: LiSbTe2N
Source: Alexandria
Functional: GGA-PBE
Structure: relaxed

Calculated values
magnetic moment = 0.0 μB/f.u.

Cell: 5.989 5.989 3.891 Å, 90.00 90.00 90.00°
Sites, in units of the cell vectors:
Li  0.500  0.500  0.500
Te  0.500  0.000  0.000
Te  0.000  0.500  0.000
N  0.000  0.000  0.500
Sb  0.000  0.000  0.000

Run B
Compound: LiSbTe2N
Source: Alexandria
Functional: GGA-PBE
Structure: relaxed

Calculated values
magnetic moment = 2.6 μB/f.u.

Cell: 5.105 5.105 4.980 Å, 90.00 90.00 90.00°
Last column: magnetic moment on the atom in μB.
Sites, in units of the cell vectors:
Te  0.000  0.500  0.000  0.03
Te  0.500  0.000  0.000  0.03
Li  0.000  0.000  0.000  0.00
Sb  0.000  0.000  0.500  -0.01
N  0.500  0.500  0.500  1.70

Run C
Compound: LiSbTe2N
Source: Alexandria
Functional: GGA-PBE
Structure: relaxed

Calculated values
magnetic moment = 0.0 μB/f.u.

Cell: 4.968 4.968 4.594 Å, 90.00 90.00 90.00°
Sites, in units of the cell vectors:
Te  0.000  0.500  0.000
Te  0.500  0.000  0.000
Li  0.500  0.500  0.500
Sb  0.000  0.000  0.500
N  0.000  0.000  0.000

Run D
Compound: LiSbTe2N
Source: Alexandria
Functional: GGA-PBE
Structure: relaxed

Calculated values
magnetic moment = 1.2 μB/f.u.

Cell: 5.372 5.372 3.763 Å, 90.00 90.00 90.00°
Last column: magnetic moment on the atom in μB.
Sites, in units of the cell vectors:
Te  0.500  0.000  0.000  -0.05
Te  0.000  0.500  0.000  -0.05
N  0.000  0.000  0.500  0.88
Li  0.000  0.000  0.000  -0.01
Sb  0.500  0.500  0.500  0.03

Tell me which of them is the most stable. Sure, it is run C.

Run A
Compound: Li2Sc2N
Source: Alexandria
Functional: GGA-PBE
Structure: relaxed

Calculated values
magnetic moment = 0.0 μB/f.u.

Cell: 5.951 5.951 5.655 Å, 90.00 90.00 90.00°
Sites, in units of the cell vectors:
Li  0.654  0.846  0.500
Li  0.346  0.154  0.500
Li  0.846  0.346  0.500
Li  0.154  0.654  0.500
N  0.000  0.000  0.000
N  0.500  0.500  0.000
Sc  0.802  0.698  0.000
Sc  0.698  0.198  0.000
Sc  0.302  0.802  0.000
Sc  0.198  0.302  0.000

Run B
Compound: Li2Sc2N
Source: Alexandria
Functional: GGA-PBE
Structure: relaxed

Calculated values
magnetic moment = 1.0 μB/f.u.

Cell: 3.026 3.026 8.310 Å, 79.51 79.51 90.00°
Last column: magnetic moment on the atom in μB.
Sites, in units of the cell vectors:
N  0.000  0.000  0.000  -0.03
Li  0.750  0.250  0.500  0.01
Li  0.250  0.750  0.500  0.01
Sc  0.579  0.579  0.842  0.39
Sc  0.421  0.421  0.158  0.39

Tell me which of them is the most stable. Sure, it is run A.

Run A
Compound: LiScN2
Source: Alexandria
Functional: GGA-PBE
Structure: relaxed

Calculated values
magnetic moment = 2.0 μB/f.u.

Cell: 4.298 4.298 6.407 Å, 70.40 70.40 90.00°
Last column: magnetic moment on the atom in μB.
Sites, in units of the cell vectors:
N  0.135  0.625  0.250  0.68
N  0.615  0.125  0.250  0.68
N  0.375  0.385  0.750  0.68
N  0.875  0.865  0.750  0.68
Sc  0.750  0.250  0.500  0.07
Sc  0.000  0.000  0.000  0.07
Li  0.250  0.750  0.500  0.01
Li  0.500  0.500  0.000  0.01

Run B
Compound: LiScN2
Source: Alexandria
Functional: GGA-PBE
Structure: relaxed

Calculated values
magnetic moment = 0.0 μB/f.u.

Cell: 5.819 5.819 5.819 Å, 34.99 34.99 34.99°
Sites, in units of the cell vectors:
N  0.115  0.115  0.115
N  0.885  0.885  0.885
Sc  0.000  0.000  0.000
Li  0.500  0.500  0.500

Tell me which of them is the most stable. Sure, it is run A.

Run A
Compound: LiScN2
Source: Alexandria
Functional: GGA-PBE
Structure: relaxed

Calculated values
magnetic moment = 1.9 μB/f.u.

Cell: 6.218 6.218 6.218 Å, 30.88 30.88 30.88°
Last column: magnetic moment on the atom in μB.
Sites, in units of the cell vectors:
N  0.106  0.106  0.106  0.66
N  0.894  0.894  0.894  0.66
Sc  0.500  0.500  0.500  -0.01
Li  0.000  0.000  0.000  0.01

Run B
Compound: LiScN2
Source: Alexandria
Functional: GGA-PBE
Structure: relaxed

Calculated values
magnetic moment = 0.7 μB/f.u.

Cell: 3.785 3.785 3.785 Å, 60.00 60.00 60.00°
Last column: magnetic moment on the atom in μB.
Sites, in units of the cell vectors:
N  0.750  0.750  0.750  0.24
N  0.250  0.250  0.250  0.24
Sc  0.500  0.500  0.500  0.05
Li  0.000  0.000  0.000  -0.01

Tell me which of them is the most stable. Sure, it is run B.

Run A
Compound: LiScTe2N
Source: Alexandria
Functional: GGA-PBE
Structure: relaxed

Calculated values
magnetic moment = 0.0 μB/f.u.

Cell: 5.837 5.837 3.909 Å, 90.00 90.00 90.00°
Sites, in units of the cell vectors:
Li  0.500  0.500  0.500
Te  0.000  0.500  0.000
Te  0.500  0.000  0.000
Sc  0.000  0.000  0.000
N  0.000  0.000  0.500

Run B
Compound: LiScTe2N
Source: Alexandria
Functional: GGA-PBE
Structure: relaxed

Calculated values
magnetic moment = 1.2 μB/f.u.

Cell: 4.776 5.045 4.776 Å, 90.00 90.00 90.00°
Last column: magnetic moment on the atom in μB.
Sites, in units of the cell vectors:
Te  0.000  0.000  0.500  0.03
Te  0.500  0.000  0.000  0.07
N  0.500  0.500  0.500  1.27
Li  0.000  0.000  0.000  -0.05
Sc  0.000  0.500  0.000  -0.52

Tell me which of them is the most stable. Sure, it is run A.

Run A
Compound: Li2SeN
Source: Alexandria
Functional: GGA-PBE
Structure: relaxed

Calculated values
magnetic moment = 0.0 μB/f.u.

Cell: 3.756 3.756 7.692 Å, 75.87 75.87 90.00°
Sites, in units of the cell vectors:
N  0.250  0.750  0.500
N  0.500  0.500  0.000
Se  0.000  0.000  0.000
Se  0.750  0.250  0.500
Li  0.543  0.125  0.250
Li  0.375  0.457  0.750
Li  0.875  0.793  0.750
Li  0.207  0.625  0.250

Run B
Compound: Li2SeN
Source: Alexandria
Functional: GGA-PBE
Structure: relaxed

Calculated values
magnetic moment = 0.0 μB/f.u.

Cell: 4.136 4.136 4.136 Å, 60.00 60.00 60.00°
Sites, in units of the cell vectors:
Se  0.500  0.500  0.500
Li  0.750  0.750  0.750
Li  0.250  0.250  0.250
N  0.000  0.000  0.000

Tell me which of them is the most stable. Sure, it is run A.

Run A
Compound: Li3SeN
Source: Alexandria
Functional: GGA-PBE
Structure: relaxed

Calculated values
magnetic moment = 0.0 μB/f.u.

Cell: 3.991 3.991 3.991 Å, 90.00 90.00 90.00°
Sites, in units of the cell vectors:
Li  0.500  0.000  0.000
Li  0.000  0.500  0.000
Li  0.000  0.000  0.500
N  0.000  0.000  0.000
Se  0.500  0.500  0.500

Run B
Compound: Li3SeN
Source: Alexandria
Functional: GGA-PBE
Structure: relaxed

Calculated values
magnetic moment = 2.0 μB/f.u.

Cell: 4.725 4.725 4.725 Å, 90.00 90.00 90.00°
Last column: magnetic moment on the atom in μB.
Sites, in units of the cell vectors:
Li  0.000  0.500  0.000  0.00
Li  0.000  0.000  0.500  0.00
Li  0.500  0.000  0.000  0.00
Se  0.000  0.000  0.000  0.06
N  0.500  0.500  0.500  1.29

Tell me which of them is the most stable. Sure, it is run A.

Run A
Compound: LiSiSeN2
Source: Alexandria
Functional: GGA-PBE
Structure: relaxed

Calculated values
magnetic moment = 0.0 μB/f.u.

Cell: 3.477 3.477 5.720 Å, 90.00 90.00 90.00°
Sites, in units of the cell vectors:
Li  0.500  0.500  0.500
Se  0.000  0.000  0.500
N  0.000  0.500  0.000
N  0.500  0.000  0.000
Si  0.000  0.000  0.000

Run B
Compound: LiSiSeN2
Source: Alexandria
Functional: GGA-PBE
Structure: relaxed

Calculated values
magnetic moment = 1.8 μB/f.u.

Cell: 3.695 3.695 5.018 Å, 90.00 90.00 90.00°
Last column: magnetic moment on the atom in μB.
Sites, in units of the cell vectors:
Li  0.000  0.000  0.000  0.01
Se  0.000  0.000  0.500  0.16
N  0.500  0.000  0.000  0.59
N  0.000  0.500  0.000  0.59
Si  0.500  0.500  0.500  -0.01

Tell me which of them is the most stable. Sure, it is run A.

Run A
Compound: LiSnSeN2
Source: Alexandria
Functional: GGA-PBE
Structure: relaxed

Calculated values
magnetic moment = 4.6 μB/f.u.

Cell: 4.175 4.175 4.888 Å, 90.00 90.00 90.00°
Last column: magnetic moment on the atom in μB.
Sites, in units of the cell vectors:
N  0.500  0.000  0.000  1.43
N  0.000  0.500  0.000  1.43
Se  0.000  0.000  0.500  0.28
Sn  0.500  0.500  0.500  -0.03
Li  0.000  0.000  0.000  0.04

Run B
Compound: LiSnSeN2
Source: Alexandria
Functional: GGA-PBE
Structure: relaxed

Calculated values
magnetic moment = 3.0 μB/f.u.

Cell: 4.202 4.202 5.522 Å, 90.00 90.00 90.00°
Last column: magnetic moment on the atom in μB.
Sites, in units of the cell vectors:
N  0.000  0.500  0.000  0.93
N  0.500  0.000  0.000  0.93
Li  0.500  0.500  0.500  0.00
Se  0.000  0.000  0.500  0.25
Sn  0.000  0.000  0.000  -0.07

Tell me which of them is the most stable. Sure, it is run B.

Run A
Compound: LiTcSe2N
Source: Alexandria
Functional: GGA-PBE
Structure: relaxed

Calculated values
magnetic moment = 1.3 μB/f.u.

Cell: 4.685 4.685 3.454 Å, 90.00 90.00 90.00°
Last column: magnetic moment on the atom in μB.
Sites, in units of the cell vectors:
Tc  0.500  0.500  0.500  2.16
Se  0.000  0.500  0.000  -0.12
Se  0.500  0.000  0.000  -0.12
N  0.000  0.000  0.500  -0.59
Li  0.000  0.000  0.000  -0.01

Run B
Compound: LiTcSe2N
Source: Alexandria
Functional: GGA-PBE
Structure: relaxed

Calculated values
magnetic moment = 0.6 μB/f.u.

Cell: 5.098 5.098 3.713 Å, 90.00 90.00 90.00°
Last column: magnetic moment on the atom in μB.
Sites, in units of the cell vectors:
Se  0.500  0.000  0.000  0.05
Se  0.000  0.500  0.000  0.05
N  0.000  0.000  0.500  -0.04
Li  0.500  0.500  0.500  0.01
Tc  0.000  0.000  0.000  0.39

Tell me which of them is the most stable. Sure, it is run B.

Run A
Compound: LiTcSeN2
Source: Alexandria
Functional: GGA-PBE
Structure: relaxed

Calculated values
magnetic moment = 0.0 μB/f.u.

Cell: 3.669 3.669 4.402 Å, 90.00 90.00 90.00°
Sites, in units of the cell vectors:
N  0.000  0.500  0.000
N  0.500  0.000  0.000
Tc  0.500  0.500  0.500
Se  0.000  0.000  0.500
Li  0.000  0.000  0.000

Run B
Compound: LiTcSeN2
Source: Alexandria
Functional: GGA-PBE
Structure: relaxed

Calculated values
magnetic moment = 0.0 μB/f.u.

Cell: 3.816 3.816 5.329 Å, 90.00 90.00 90.00°
Sites, in units of the cell vectors:
N  0.500  0.000  0.000
N  0.000  0.500  0.000
Li  0.500  0.500  0.500
Se  0.000  0.000  0.500
Tc  0.000  0.000  0.000

Tell me which of them is the most stable. Sure, it is run B.

Run A
Compound: LiTeSe2N
Source: Alexandria
Functional: GGA-PBE
Structure: relaxed

Calculated values
magnetic moment = 0.7 μB/f.u.

Cell: 5.462 5.462 3.992 Å, 90.00 90.00 90.00°
Last column: magnetic moment on the atom in μB.
Sites, in units of the cell vectors:
Se  0.500  0.000  0.000  0.14
Se  0.000  0.500  0.000  0.14
Li  0.500  0.500  0.500  0.00
Te  0.000  0.000  0.000  -0.03
N  0.000  0.000  0.500  0.19

Run B
Compound: LiTeSe2N
Source: Alexandria
Functional: GGA-PBE
Structure: relaxed

Calculated values
magnetic moment = 2.4 μB/f.u.

Cell: 4.962 4.962 3.884 Å, 90.00 90.00 90.00°
Last column: magnetic moment on the atom in μB.
Sites, in units of the cell vectors:
Se  0.500  0.000  0.000  0.09
Se  0.000  0.500  0.000  0.09
Te  0.500  0.500  0.500  0.03
Li  0.000  0.000  0.000  0.02
N  0.000  0.000  0.500  1.44

Tell me which of them is the most stable. Sure, it is run A.